--- 1 ---
VASP calculation (PBE) on a relaxed CdCu4Pt crystal.

Structure (CIF):
```
data_CdCu4Pt
_symmetry_space_group_name_H-M 'P m m n'
_symmetry_Int_Tables_number 59
_cell_length_a 2.758
_cell_length_b 7.208
_cell_length_c 8.635
_cell_angle_alpha 90.00
_cell_angle_beta 90.00
_cell_angle_gamma 90.00
loop_
_symmetry_equiv_pos_as_xyz
'x,y,z'
'-x,-y,-z'
'-x+1/2,-y+1/2,z'
'x+1/2,y+1/2,-z'
'x+1/2,-y,-z'
'-x+1/2,y,z'
'-x,y+1/2,-z'
'x,-y+1/2,z'
loop_
_atom_site_label
_atom_site_fract_x
_atom_site_fract_y
_atom_site_fract_z
_atom_site_occupancy
Cd1 0.250 0.250 0.161 1
Cu1 0.250 0.074 0.883 1
Cu2 0.250 0.568 0.608 1
Pt1 0.250 0.750 0.341 1
```



--- 2 ---
VASP calculation (PBE) on a relaxed CdCu4Pt crystal.

Structure (CIF):
```
data_CdCu4Pt
_symmetry_space_group_name_H-M 'F -4 3 m'
_symmetry_Int_Tables_number 216
_symmetry_space_group_name_Hall 'F -4 2 3'
_cell_length_a 6.932
_cell_length_b 6.932
_cell_length_c 6.932
_cell_angle_alpha 90.00
_cell_angle_beta 90.00
_cell_angle_gamma 90.00
loop_
_atom_site_label
_atom_site_fract_x
_atom_site_fract_y
_atom_site_fract_z
_atom_site_occupancy
Cd1 0.000 0.000 0.000 1
Cu1 0.125 0.125 0.375 1
Pt1 0.250 0.250 0.750 1
```



Stability verdict: 2, ahead by 0.066 eV/atom



--- 1 ---
VASP calculation (PBE) on a relaxed CdCu3Pt crystal.

Structure (CIF):
```
data_CdCu3Pt
_symmetry_space_group_name_H-M 'P m -3 m'
_symmetry_Int_Tables_number 221
_symmetry_space_group_name_Hall '-P 4 2 3'
_cell_length_a 4.643
_cell_length_b 4.643
_cell_length_c 4.643
_cell_angle_alpha 90.00
_cell_angle_beta 90.00
_cell_angle_gamma 90.00
loop_
_atom_site_label
_atom_site_fract_x
_atom_site_fract_y
_atom_site_fract_z
_atom_site_occupancy
Cd1 0.000 0.000 0.000 1
Cu1 0.000 0.000 0.500 1
Pt1 0.500 0.500 0.500 1
```



--- 2 ---
VASP calculation (PBE) on a relaxed CdCu3Pt crystal.

Structure (CIF):
```
data_CdCu3Pt
_symmetry_space_group_name_H-M 'P m -3 m'
_symmetry_Int_Tables_number 221
_symmetry_space_group_name_Hall '-P 4 2 3'
_cell_length_a 4.717
_cell_length_b 4.717
_cell_length_c 4.717
_cell_angle_alpha 90.00
_cell_angle_beta 90.00
_cell_angle_gamma 90.00
loop_
_atom_site_label
_atom_site_fract_x
_atom_site_fract_y
_atom_site_fract_z
_atom_site_occupancy
Cd1 0.000 0.000 0.000 1
Cu1 0.000 0.500 0.500 1
Pt1 0.500 0.500 0.500 1
```



Stability verdict: 2, ahead by 0.551 eV/atom